No. 1
# meta-GGA SCAN Mg2TaAu, single point on PBEsol structure
# * electronic total energy: -36.46 eV/atom
# * energy relative to the lowest polymorph listed for this composition: 0 kJ/mol of formula units
# * ΔH_f (0 K): -0.17 eV per formula unit
data_Mg2TaAu
_cell_length_a 4.095
_cell_length_b 4.095
_cell_length_c 4.212
_cell_angle_alpha 90.00
_cell_angle_beta 90.00
_cell_angle_gamma 90.00
_space_group_name_H-M_alt 'P 4/m m m'
_space_group_IT_number 123
_space_group_name_Hall '-P 4 2'
loop_
_atom_site_label
_atom_site_fract_x
_atom_site_fract_y
_atom_site_fract_z
Mg1 0.000 0.500 0.000
Ta1 0.000 0.000 0.500
Au1 0.500 0.500 0.500

No. 2
# meta-GGA SCAN Lu2GaNi2, single point on PBEsol structure
# * electronic total energy: -32.57 eV/atom
# * ΔH_f (0 K): -3.47 eV per formula unit
data_Lu2GaNi2
_cell_length_a 4.093
_cell_length_b 5.193
_cell_length_c 7.894
_cell_angle_alpha 90.00
_cell_angle_beta 90.00
_cell_angle_gamma 90.00
_space_group_name_H-M_alt 'I m m m'
_space_group_IT_number 71
_space_group_name_Hall '-I 2 2'
loop_
_atom_site_label
_atom_site_fract_x
_atom_site_fract_y
_atom_site_fract_z
Lu1 0.000 0.000 0.202
Ga1 0.000 0.500 0.000
Ni1 0.000 0.268 0.500

No. 3
# meta-GGA SCAN K3H8RhC4Cl2O12, single point on PBEsol structure
# * electronic total energy: -8.57 eV/atom
data_K3H8RhC4Cl2O12
_cell_length_a 11.708
_cell_length_b 11.518
_cell_length_c 6.231
_cell_angle_alpha 90.00
_cell_angle_beta 116.88
_cell_angle_gamma 90.00
_space_group_name_H-M_alt 'C 1 2/m 1'
_space_group_IT_number 12
loop_
_space_group_symop_operation_xyz
'x,y,z'
'-x,-y,-z'
'-x,y,-z'
'x,-y,z'
'x+1/2,y+1/2,z'
'-x+1/2,-y+1/2,-z'
'-x+1/2,y+1/2,-z'
'x+1/2,-y+1/2,z'
loop_
_atom_site_label
_atom_site_fract_x
_atom_site_fract_y
_atom_site_fract_z
K1 0.000 0.000 0.000
K2 0.000 0.264 0.500
H1 0.133 0.249 0.088
H2 0.217 0.158 0.037
Rh1 0.000 0.500 0.000
C1 0.230 0.433 0.389
Cl1 0.133 0.500 0.813
O1 0.123 0.385 0.237
O2 0.131 0.192 0.966
O3 0.174 0.121 0.472

No. 4
# meta-GGA SCAN Ti2NbNi2, single point on PBEsol structure
# * electronic total energy: -19.78 eV/atom
# * ΔH_f (0 K): -1.38 eV per formula unit
data_Ti2NbNi2
_cell_length_a 7.069
_cell_length_b 7.069
_cell_length_c 2.825
_cell_angle_alpha 90.00
_cell_angle_beta 90.00
_cell_angle_gamma 90.00
_space_group_name_H-M_alt 'P 4/m b m'
_space_group_IT_number 127
_space_group_name_Hall '-P 4 2ab'
loop_
_atom_site_label
_atom_site_fract_x
_atom_site_fract_y
_atom_site_fract_z
Ti1 0.169 0.331 0.000
Nb1 0.000 0.000 0.500
Ni1 0.125 0.625 0.500

No. 5
# meta-GGA SCAN MoW4, single point on PBEsol structure
# * electronic total energy: -62.73 eV/atom
# * energy relative to the lowest polymorph listed for this composition: 0 kJ/mol of formula units
# * ΔH_f (0 K): -0.02 eV per formula unit
data_MoW4
_cell_length_a 7.036
_cell_length_b 7.036
_cell_length_c 3.150
_cell_angle_alpha 90.00
_cell_angle_beta 90.00
_cell_angle_gamma 90.00
_space_group_name_H-M_alt 'I 4/m'
_space_group_IT_number 87
_space_group_name_Hall '-I 4'
loop_
_atom_site_label
_atom_site_fract_x
_atom_site_fract_y
_atom_site_fract_z
Mo1 0.000 0.000 0.000
W1 0.100 0.700 0.500

No. 6
# meta-GGA SCAN CdPCl2, single point on PBEsol structure
# * uncorrected formation energy: 1.31 eV per formula unit
# * electronic total energy: -13.86 eV/atom
# * energy relative to the lowest polymorph listed for this composition: 148 kJ/mol of formula units
data_CdPCl2
_cell_length_a 4.424
_cell_length_b 4.424
_cell_length_c 3.939
_cell_angle_alpha 90.00
_cell_angle_beta 90.00
_cell_angle_gamma 90.00
_space_group_name_H-M_alt 'P 4/m m m'
_space_group_IT_number 123
_space_group_name_Hall '-P 4 2'
loop_
_atom_site_label
_atom_site_fract_x
_atom_site_fract_y
_atom_site_fract_z
Cd1 0.000 0.000 0.000
P1 0.500 0.500 0.000
Cl1 0.000 0.500 0.500

No. 7
# meta-GGA SCAN BaYCo, single point on PBEsol structure
# * electronic total energy: -27.11 eV/atom
# * ΔH_f (0 K): 3.38 eV per formula unit
data_BaYCo
_cell_length_a 6.808
_cell_length_b 6.808
_cell_length_c 6.808
_cell_angle_alpha 90.00
_cell_angle_beta 90.00
_cell_angle_gamma 90.00
_space_group_name_H-M_alt 'F -4 3 m'
_space_group_IT_number 216
_space_group_name_Hall 'F -4 2 3'
loop_
_atom_site_label
_atom_site_fract_x
_atom_site_fract_y
_atom_site_fract_z
Ba1 0.000 0.000 0.000
Y1 0.250 0.250 0.750
Co1 0.000 0.000 0.500

No. 8
# meta-GGA SCAN FePtN2F, single point on PBEsol structure
# * uncorrected formation energy: 3.51 eV per formula unit
# * electronic total energy: -21.39 eV/atom
# * energy relative to the lowest polymorph listed for this composition: 0 kJ/mol of formula units
data_FePtN2F
_cell_length_a 3.670
_cell_length_b 3.670
_cell_length_c 3.659
_cell_angle_alpha 90.00
_cell_angle_beta 90.00
_cell_angle_gamma 90.00
_space_group_name_H-M_alt 'P 4/m m m'
_space_group_IT_number 123
_space_group_name_Hall '-P 4 2'
loop_
_atom_site_label
_atom_site_fract_x
_atom_site_fract_y
_atom_site_fract_z
Fe1 0.000 0.000 0.000
Pt1 0.500 0.500 0.500
N1 0.000 0.500 0.000
F1 0.000 0.000 0.500